# ScNbN2

ScNbN2 after structural relaxation (PBE, Alexandria via LeMat-Bulk).

```
data_ScNbN2
_chemical_formula_sum 'Sc4 Nb4 N8'
_cell_length_a 4.851
_cell_length_b 4.851
_cell_length_c 9.613
_cell_angle_alpha 90.00
_cell_angle_beta 90.00
_cell_angle_gamma 90.00
_space_group_name_H-M_alt 'I -4 2 d'
_space_group_IT_number 122
_space_group_name_Hall 'I -4 2bw'
loop_
_atom_site_label
_atom_site_type_symbol
_atom_site_fract_x
_atom_site_fract_y
_atom_site_fract_z
Sc1 Sc 0.000 0.000 0.000
Nb1 Nb 0.000 0.000 0.500
N1 N 0.234 0.250 0.625
```

Properties
Magnetization   0.000 μB per atom
ΔE_f (raw)   -1.164 eV/atom